This record from Alexandria via LeMat-Bulk describes CdGa2Au2 after structural relaxation. The functional is PBE.

## Properties
- Polymorph energy (0 for the lowest one): 29 meV per atom
- SG: C2/c
- Calculated volume: 220 Å³/cell
- Total energy: -14.10 eV per formula unit
- Energy of formation from the pure elements: -0.115 eV per atom
- Density of states at the Fermi level: 2.5 states/eV/cell

Lattice parameters (Å, degrees): 6.953 6.953 6.131 117.53 117.53 92.67
Fractional positions:
Au: 0.593 0.407 0.750
Au: 0.407 0.593 0.250
Au: 0.149 0.851 0.750
Au: 0.851 0.149 0.250
Cd: 0.871 0.129 0.750
Cd: 0.129 0.871 0.250
Ga: 0.543 0.797 0.063
Ga: 0.797 0.543 0.563
Ga: 0.457 0.203 0.937
Ga: 0.203 0.457 0.437

***

This record from Alexandria via LeMat-Bulk describes Cd2GaAu after structural relaxation. The functional is PBE.

## Properties
- SG: P2_1/m
- Calculated volume: 171 Å³/cell
- Total energy: -8.48 eV per formula unit
- Energy of formation from the pure elements: -0.085 eV per atom
- Density of states at the Fermi level: 2.6 states/eV/cell

Lattice parameters (Å, degrees): 4.139 7.387 6.022 111.54 90.00 90.00
Fractional positions:
Au: 0.250 0.184 0.338
Au: 0.750 0.816 0.662
Cd: 0.750 0.263 0.050
Cd: 0.750 0.422 0.667
Cd: 0.250 0.737 0.950
Cd: 0.250 0.578 0.333
Ga: 0.750 0.931 0.292
Ga: 0.250 0.069 0.708

***

This record from Alexandria via LeMat-Bulk describes Cd2Ga2Au after structural relaxation. The functional is PBE.

## Properties
- Polymorph energy (0 for the lowest one): 219 meV per atom
- SG: I4/mmm
- Calculated volume: 112 Å³/cell
- Total energy: -10.26 eV per formula unit
- Energy of formation from the pure elements: 0.180 eV per atom
- Density of states at the Fermi level: 1.1 states/eV/cell

Lattice parameters (Å, degrees): 4.003 4.003 7.552 74.63 74.63 90.00
Fractional positions:
Ga: 0.411 0.411 0.178
Ga: 0.589 0.589 0.822
Cd: 0.250 0.750 0.500
Cd: 0.750 0.250 0.500
Au: 0.000 0.000 0.000

***

This record from Alexandria via LeMat-Bulk describes Cd3GaAu2 after structural relaxation. The functional is PBE.

## Properties
- SG: Ibam
- Calculated volume: 253 Å³/cell
- Total energy: -13.07 eV per formula unit
- Energy of formation from the pure elements: -0.124 eV per atom
- Density of states at the Fermi level: 4.0 states/eV/cell

Lattice parameters (Å, degrees): 5.812 5.861 8.489 110.20 110.02 90.00
Fractional positions:
Cd: 0.537 0.316 0.632
Cd: 0.095 0.816 0.632
Cd: 0.463 0.684 0.368
Cd: 0.905 0.184 0.368
Cd: 0.500 0.750 0.000
Cd: 0.500 0.250 0.000
Au: 0.344 0.127 0.254
Au: 0.910 0.627 0.254
Au: 0.090 0.373 0.746
Au: 0.656 0.873 0.746
Ga: 0.000 0.750 0.000
Ga: 0.000 0.250 0.000

***

This record from Alexandria via LeMat-Bulk describes Cd2GaAu after structural relaxation. The functional is PBE.

## Properties
- SG: I-42d
- Calculated volume: 180 Å³/cell
- Total energy: -7.98 eV per formula unit
- Energy of formation from the pure elements: 0.038 eV per atom
- Density of states at the Fermi level: 2.6 states/eV/cell

Lattice parameters (Å, degrees): 7.987 7.987 6.310 50.74 50.74 90.00
Fractional positions:
Ga: 0.500 0.500 0.000
Ga: 0.250 0.750 0.500
Cd: 0.875 0.884 0.750
Cd: 0.634 0.125 0.250
Cd: 0.116 0.625 0.250
Cd: 0.375 0.366 0.750
Au: 0.000 0.000 0.000
Au: 0.750 0.250 0.500

***

This record from Alexandria via LeMat-Bulk describes Cd2GaAu after structural relaxation. The functional is PBE.

## Properties
- SG: R3m
- Calculated volume: 91 Å³/cell
- Total energy: -8.27 eV per formula unit
- Energy of formation from the pure elements: -0.035 eV per atom
- Density of states at the Fermi level: 1.7 states/eV/cell

Lattice parameters (Å, degrees): 4.712 4.712 5.439 64.33 64.33 60.00
Fractional positions:
Cd: 0.272 0.272 0.184
Cd: 0.067 0.067 0.798
Ga: 0.487 0.487 0.540
Au: 0.674 0.674 0.978